# 1
VASP calculation (PBE) on an optimized crystal structure of Pm2Pr8Hg.

Results
The volume comes out at 34.324 A^3/atom. The value obtained for the density of states at the Fermi level is 1.484 states/eV/atom. Its formation energy is -0.042 eV per atom.

a = 5.263 Å, b = 6.424 Å, c = 12.544 Å
α = 78.48°, β = 90.00°, γ = 114.18°
Fractional coordinates of all 11 atoms:
Pr (0.414, 0.828, 0.640)
Pr (0.258, 0.517, 0.914)
Pr (0.859, 0.718, 0.451)
Pr (0.969, 0.938, 0.830)
Pr (0.742, 0.483, 0.086)
Pr (0.586, 0.172, 0.360)
Pr (0.141, 0.282, 0.549)
Pm (0.688, 0.377, 0.744)
Pr (0.031, 0.062, 0.170)
Pm (0.312, 0.623, 0.256)
Hg (0.500, 0.000, 0.000)



# 2
VASP calculation (PBE) on an optimized crystal structure of Cs3NaI2Br6.

Results
The volume comes out at 44.736 A^3/atom. For the uncorrected formation energy, the calculation gives -1063.3 kJ/mol of formula units. The value obtained for the density of states at the Fermi level is 0.514 states/eV/atom.

a = 8.213 Å, b = 8.213 Å, c = 9.189 Å
α = 90.00°, β = 90.00°, γ = 120.00°
Fractional coordinates of all 12 atoms:
Br (0.668, 0.834, 0.311)
I (0.333, 0.667, 0.073)
I (0.667, 0.333, 0.927)
Cs (0.667, 0.333, 0.378)
Cs (0.000, 0.000, 0.000)
Br (0.834, 0.668, 0.689)
Na (0.000, 0.000, 0.500)
Cs (0.333, 0.667, 0.622)
Br (0.166, 0.332, 0.311)
Br (0.834, 0.166, 0.689)
Br (0.332, 0.166, 0.689)
Br (0.166, 0.834, 0.311)